<i>
Co2HPt: relaxed, GGA-PBE.

## Properties
DOS at the Fermi energy, states/eV per atom: 0.966
Magnetization, μB per formula unit: 3.36

```
data_Co2HPt
_chemical_formula_sum 'Co6 H3 Pt3'
_symmetry_space_group_name_H-M 'R 3 m'
_symmetry_Int_Tables_number 160
_symmetry_space_group_name_Hall 'R 3 -2"'
_cell_length_a 2.6827
_cell_length_b 2.6827
_cell_length_c 19.2539
_cell_angle_alpha 90.00
_cell_angle_beta 90.00
_cell_angle_gamma 120.00
loop_
_atom_site_label
_atom_site_type_symbol
_atom_site_fract_x
_atom_site_fract_y
_atom_site_fract_z
Co1 Co 0.0000 0.0000 0.0000
Co2 Co 0.0000 0.0000 0.2291
H1 H 0.0000 0.0000 0.6150
Pt1 Pt 0.0000 0.0000 0.4476
```



<ii>
Co2HPt: relaxed, GGA-PBE.

## Properties
DOS at the Fermi energy, states/eV per atom: 1.346
Magnetization, μB per formula unit: 3.51

```
data_Co2HPt
_chemical_formula_sum 'Co8 H4 Pt4'
_symmetry_space_group_name_H-M 'I -4 2 d'
_symmetry_Int_Tables_number 122
_symmetry_space_group_name_Hall 'I -4 2bw'
_cell_length_a 5.4361
_cell_length_b 5.4361
_cell_length_c 5.6940
_cell_angle_alpha 90.00
_cell_angle_beta 90.00
_cell_angle_gamma 90.00
loop_
_atom_site_label
_atom_site_type_symbol
_atom_site_fract_x
_atom_site_fract_y
_atom_site_fract_z
Co1 Co 0.1179 0.2500 0.1250
H1 H 0.0000 0.0000 0.0000
Pt1 Pt 0.0000 0.0000 0.5000
```



<iii>
Co2HPt: relaxed, GGA-PBE.

## Properties
DOS at the Fermi energy, states/eV per atom: 1.118
Magnetization, μB per formula unit: 3.35

```
data_Co2HPt
_chemical_formula_sum 'Co8 H4 Pt4'
_symmetry_space_group_name_H-M 'F m -3 m'
_symmetry_Int_Tables_number 225
_symmetry_space_group_name_Hall '-F 4 2 3'
_cell_length_a 5.6926
_cell_length_b 5.6926
_cell_length_c 5.6926
_cell_angle_alpha 90.00
_cell_angle_beta 90.00
_cell_angle_gamma 90.00
loop_
_atom_site_label
_atom_site_type_symbol
_atom_site_fract_x
_atom_site_fract_y
_atom_site_fract_z
Co1 Co 0.2500 0.2500 0.2500
H1 H 0.0000 0.0000 0.0000
Pt1 Pt 0.0000 0.0000 0.5000
```



<iv>
Co2HPt: relaxed, GGA-PBE.

## Properties
DOS at the Fermi energy, states/eV per atom: 0.970
Magnetization, μB per formula unit: 3.43

```
data_Co2HPt
_chemical_formula_sum 'Co6 H3 Pt3'
_symmetry_space_group_name_H-M 'R -3 m'
_symmetry_Int_Tables_number 166
_symmetry_space_group_name_Hall '-R 3 2"'
_cell_length_a 2.6897
_cell_length_b 2.6897
_cell_length_c 19.1201
_cell_angle_alpha 90.00
_cell_angle_beta 90.00
_cell_angle_gamma 120.00
loop_
_atom_site_label
_atom_site_type_symbol
_atom_site_fract_x
_atom_site_fract_y
_atom_site_fract_z
Co1 Co 0.0000 0.0000 0.2190
H1 H 0.0000 0.0000 0.5000
Pt1 Pt 0.0000 0.0000 0.0000
```



<iv> (10 meV per atom below the next structure)



<i>
Co2H2Pt: relaxed, GGA-PBE.

## Properties
DOS at the Fermi energy, states/eV per atom: 0.548
Magnetization, μB per formula unit: 2.35

```
data_Co2H2Pt
_chemical_formula_sum 'Co4 H4 Pt2'
_symmetry_space_group_name_H-M 'I 4/m m m'
_symmetry_Int_Tables_number 139
_symmetry_space_group_name_Hall '-I 4 2'
_cell_length_a 3.2222
_cell_length_b 3.2222
_cell_length_c 8.1021
_cell_angle_alpha 90.00
_cell_angle_beta 90.00
_cell_angle_gamma 90.00
loop_
_atom_site_label
_atom_site_type_symbol
_atom_site_fract_x
_atom_site_fract_y
_atom_site_fract_z
Co1 Co 0.0000 0.0000 0.1712
H1 H 0.0000 0.5000 0.2500
Pt1 Pt 0.0000 0.0000 0.5000
```



<ii>
Co2H2Pt: relaxed, GGA-PBE.

## Properties
DOS at the Fermi energy, states/eV per atom: 0.636
Magnetization, μB per formula unit: 3.00

```
data_Co2H2Pt
_chemical_formula_sum 'Co4 H4 Pt2'
_symmetry_space_group_name_H-M 'P 4/m b m'
_symmetry_Int_Tables_number 127
_symmetry_space_group_name_Hall '-P 4 2ab'
_cell_length_a 5.7994
_cell_length_b 5.7994
_cell_length_c 2.6383
_cell_angle_alpha 90.00
_cell_angle_beta 90.00
_cell_angle_gamma 90.00
loop_
_atom_site_label
_atom_site_type_symbol
_atom_site_fract_x
_atom_site_fract_y
_atom_site_fract_z
Co1 Co 0.1387 0.3613 0.0000
H1 H 0.1049 0.6049 0.5000
Pt1 Pt 0.0000 0.0000 0.5000
```



<i> (198 meV per atom below the next structure)